Computed, not measured: a relaxed structure of Zr2TcBr at the PBE-GGA level of DFT.

Properties
formation energy (no corrections)	0.568	eV per atom
calculated volume	78.1	Å³/f.u.
DOS at the Fermi energy	5.464	states/eV/cell
symmetry	F-43m

The structure in POSCAR format:
```
Zr2TcBr
1.0
0.000 3.393 3.393
3.393 0.000 3.393
3.393 3.393 0.000
Zr Tc Br
2 1 1
Direct
0.000 0.000 0.000
0.250 0.250 0.250
0.750 0.750 0.750
0.500 0.500 0.500
```

=====

Computed, not measured: a relaxed structure of Zr3TcBr at the PBE-GGA level of DFT.

Properties
formation energy (no corrections)	0.437	eV per atom
calculated volume	132.3	Å³/f.u.
DOS at the Fermi energy	6.762	states/eV/cell
symmetry	Pm-3m

The structure in POSCAR format:
```
Zr3TcBr
1.0
5.095 0.000 0.000
0.000 5.095 0.000
0.000 0.000 5.095
Zr Tc Br
3 1 1
Direct
0.000 0.000 0.500
0.000 0.500 0.000
0.500 0.000 0.000
0.000 0.000 0.000
0.500 0.500 0.500
```